*P*
CsBaBi3: relaxed, GGA-PBE.

```
CsBaBi3
1.0
6.2914 0.0000 0.0000
0.0000 6.2914 0.0000
0.0000 0.0000 6.2914
Bi Ba Cs
3 1 1
direct
0.0000 0.5000 0.0000
0.0000 0.0000 0.5000
0.5000 0.0000 0.0000
0.5000 0.5000 0.5000
0.0000 0.0000 0.0000
```

## Properties
Total magnetic moment: 0.0 Bohr magnetons per cell

***

*Q*
CsBaBi3: relaxed, GGA-PBE.

```
CsBaBi3
1.0
-2.4905 -0.6532 6.0010
-2.9308 -5.5443 -1.8199
5.2771 -3.3875 1.8214
Ba Bi Cs
1 3 1
direct
0.0000 0.0000 0.0000
0.0000 0.0000 0.5000
0.0000 0.5000 0.0000
0.5000 0.0000 0.0000
0.5000 0.5000 0.5000
```

## Properties
Total magnetic moment: 0.0 Bohr magnetons per cell

***

Last place for stability: *P*

***

*P*
Ba2Cu2Bi: relaxed, GGA-PBE.

```
Ba2Cu2Bi
1.0
8.0257 0.0000 0.0000
0.0000 8.0257 0.0000
0.0000 0.0000 4.7117
Cu Bi Ba
4 2 4
direct
0.3933 0.8933 0.0000
0.1067 0.3933 0.0000
0.8933 0.6067 0.0000
0.6067 0.1067 0.0000
0.5000 0.5000 0.0000
0.0000 0.0000 0.0000
0.6892 0.8108 0.5000
0.3108 0.1892 0.5000
0.8108 0.3108 0.5000
0.1892 0.6892 0.5000
```

## Properties
Total magnetic moment: 0.0 Bohr magnetons per cell

***

*Q*
Ba2Cu2Bi: relaxed, GGA-PBE.

```
Ba2Cu2Bi
1.0
6.2809 0.0000 0.0000
0.0000 6.2809 0.0000
3.1404 3.1404 4.1346
Ba Bi Cu
2 1 2
direct
0.7500 0.2500 0.5000
0.2500 0.7500 0.5000
0.0000 0.0000 0.0000
0.3576 0.3576 0.2848
0.6424 0.6424 0.7153
```

## Properties
Total magnetic moment: 0.0 Bohr magnetons per cell

***

Last place for stability: *Q*

***

*P*
BaCuBi3: relaxed, GGA-PBE.

```
BaCuBi3
1.0
5.4567 0.0000 0.0000
0.0000 5.4567 0.0000
0.0000 0.0000 5.4567
Bi Ba Cu
3 1 1
direct
0.0000 0.0000 0.5000
0.0000 0.5000 0.0000
0.5000 0.0000 0.0000
0.5000 0.5000 0.5000
0.0000 0.0000 0.0000
```

## Properties
Total magnetic moment: 0.0 Bohr magnetons per cell

***

*Q*
BaCuBi3: relaxed, GGA-PBE.

```
BaCuBi3
1.0
-0.5776 -6.0381 1.9833
6.2138 -0.9548 -1.0970
1.3347 1.8318 5.9657
Bi Ba Cu
3 1 1
direct
0.0000 0.0000 0.5000
0.0000 0.5000 0.0000
0.5000 0.0000 0.0000
0.0000 0.0000 0.0000
0.5000 0.5000 0.5000
```

## Properties
Total magnetic moment: 0.0 Bohr magnetons per cell

***

Last place for stability: *Q*

***

*P*
Ba3CuBi: relaxed, GGA-PBE.

```
Ba3CuBi
1.0
-4.0363 -4.4756 -0.3134
3.7368 -3.5869 3.0970
-2.4831 1.8773 5.1702
Ba Bi Cu
3 1 1
direct
0.0000 0.0000 0.5000
0.5000 0.0000 0.0000
0.0000 0.5000 0.0000
0.5000 0.5000 0.5000
0.0000 0.0000 0.0000
```

## Properties
Total magnetic moment: 0.0 Bohr magnetons per cell

***

*Q*
Ba3CuBi: relaxed, GGA-PBE.

```
Ba3CuBi
1.0
-2.2303 4.1169 -0.3081
-6.8656 -6.1924 2.7049
2.1394 1.8712 9.5070
Bi Ba Cu
2 6 2
direct
0.6340 0.3024 0.1378
0.4080 0.8505 0.2836
0.2686 0.5710 0.0199
0.0592 0.1525 0.3828
0.6323 0.2977 0.7719
0.4128 0.8576 0.6493
0.9829 0.0003 0.0381
0.7742 0.5823 0.4023
0.2491 0.5289 0.6781
0.7988 0.6273 0.7441
```

## Properties
Total magnetic moment: 1.0 Bohr magnetons per cell

***

Last place for stability: *P*

***

*P*
Ba2CuBiO: relaxed, GGA-PBE.

```
Ba2CuBiO
1.0
4.4722 0.0000 0.0000
0.0000 7.2863 0.0592
0.0000 -3.0571 8.7901
Cu Ba O Bi
2 4 2 2
direct
0.2500 0.5509 0.7620
0.7500 0.4491 0.2380
0.7500 0.7866 0.0301
0.2500 0.2083 0.3769
0.2500 0.2134 0.9699
0.7500 0.7917 0.6231
0.2500 0.8384 0.8409
0.7500 0.1616 0.1591
0.7500 0.3272 0.7001
0.2500 0.6728 0.2999
```

## Properties
Total magnetic moment: 0.0 Bohr magnetons per cell

***

*Q*
Ba2CuBiO: relaxed, GGA-PBE.

```
Ba2CuBiO
1.0
-0.8200 -5.4709 3.7385
3.6721 1.1266 2.4541
-3.8696 3.4533 4.2048
Ba Cu Bi O
2 1 1 1
direct
0.0000 0.0000 0.5000
0.5000 0.0000 0.0000
0.5000 0.5000 0.5000
0.0000 0.0000 0.0000
0.0000 0.5000 0.0000
```

## Properties
Total magnetic moment: 0.0 Bohr magnetons per cell

***

Last place for stability: *Q*

***

*P*
BaEuBi: relaxed, GGA-PBE.

```
BaEuBi
1.0
-2.2093 -0.5660 -5.3045
-1.5682 -5.2098 -1.9335
-5.5929 -1.2645 -0.6782
Eu Ba Bi
1 1 1
direct
0.5000 0.5000 0.5000
0.0000 0.0000 0.0000
0.2500 0.2500 0.2500
```

## Properties
Total magnetic moment: 7.9 Bohr magnetons per cell

***

*Q*
BaEuBi: relaxed, GGA-PBE.

```
BaEuBi
1.0
-2.7847 -1.3229 -3.9417
-3.6463 -2.3927 3.3791
-0.5827 5.3121 -1.3712
Eu Ba Bi
1 1 1
direct
0.1677 0.3333 0.6667
0.6670 0.6667 0.3333
0.1653 0.0000 0.0000
```

## Properties
Total magnetic moment: 7.9 Bohr magnetons per cell

***

Last place for stability: *Q*

***

*P*
BaEuInBiO6: relaxed, GGA-PBE.

```
BaEuInBiO6
1.0
-4.5394 -2.9360 -2.8204
3.6942 -4.5320 -1.2477
-2.1142 -3.7265 7.3214
O In Bi Ba Eu
12 2 2 2 2
direct
0.0561 0.4291 0.2463
0.4914 0.8876 0.7546
0.2268 0.7801 0.0493
0.7732 0.2199 0.9507
0.9439 0.5709 0.7537
0.5086 0.1124 0.2454
0.6989 0.7004 0.4475
0.2977 0.2918 0.9412
0.7023 0.7082 0.0588
0.3011 0.2996 0.5525
0.7759 0.2177 0.5436
0.2241 0.7823 0.4564
0.5000 0.0000 0.5000
0.0000 0.5000 0.0000
0.5000 0.0000 0.0000
0.0000 0.5000 0.5000
0.0348 0.0062 0.7487
0.9652 0.9938 0.2513
0.4515 0.5187 0.2517
0.5485 0.4813 0.7483
```

## Properties
Total magnetic moment: 13.1 Bohr magnetons per cell

***

*Q*
BaEuInBiO6: relaxed, GGA-PBE.

```
BaEuInBiO6
1.0
0.0000 4.2689 4.2689
4.2689 0.0000 4.2689
4.2689 4.2689 0.0000
O Ba Eu In Bi
6 1 1 1 1
direct
0.7509 0.2491 0.7509
0.2491 0.7509 0.2491
0.7509 0.2491 0.2491
0.2491 0.2491 0.7509
0.7509 0.7509 0.2491
0.2491 0.7509 0.7509
0.2500 0.2500 0.2500
0.7500 0.7500 0.7500
0.5000 0.5000 0.5000
0.0000 0.0000 0.0000
```

## Properties
Total magnetic moment: 6.8 Bohr magnetons per cell

***

Last place for stability: *Q*

***

*P*
BaEuBiSbO6: relaxed, GGA-PBE.

```
BaEuBiSbO6
1.0
5.0347 -1.2492 -3.1917
3.9948 -4.0937 2.0926
0.5826 -5.3855 -2.7843
O Sb Eu Ba Bi
6 1 1 1 1
direct
0.7333 0.7333 0.2667
0.7333 0.2667 0.7333
0.2667 0.7333 0.7333
0.2667 0.7333 0.2667
0.2667 0.2667 0.7333
0.7333 0.2667 0.2667
0.5000 0.5000 0.5000
0.7500 0.7500 0.7500
0.2500 0.2500 0.2500
0.0000 0.0000 0.0000
```

## Properties
Total magnetic moment: 7.0 Bohr magnetons per cell

***

*Q*
BaEuBiSbO6: relaxed, GGA-PBE.

```
BaEuBiSbO6
1.0
6.0259 0.0052 -0.0075
0.0042 6.1026 -0.0022
-0.0842 -0.0366 8.5664
Sb O Ba Bi Eu
2 12 2 2 2
direct
0.0000 0.5000 0.5000
0.5000 0.0000 0.0000
0.1049 0.5036 0.2716
0.2299 0.8042 0.9706
0.7959 0.2425 0.4532
0.3180 0.2785 0.9482
0.2637 0.3026 0.5580
0.2041 0.7575 0.5468
0.5646 0.9483 0.7693
0.4354 0.0517 0.2307
0.8951 0.4964 0.7284
0.7701 0.1958 0.0294
0.7363 0.6974 0.4420
0.6820 0.7215 0.0518
0.9950 0.9709 0.2495
0.0050 0.0291 0.7505
0.5000 0.0000 0.5000
0.0000 0.5000 0.0000
0.5143 0.4610 0.2477
0.4857 0.5390 0.7523
```

## Properties
Total magnetic moment: 13.8 Bohr magnetons per cell

***

Last place for stability: *P*

***

*P*
BaSmEuBiO6: relaxed, GGA-PBE.

```
BaSmEuBiO6
1.0
0.0000 4.3828 4.3828
4.3828 0.0000 4.3828
4.3828 4.3828 0.0000
O Ba Eu Sm Bi
6 1 1 1 1
direct
0.2420 0.2420 0.7580
0.2420 0.7580 0.2420
0.7580 0.2420 0.2420
0.7580 0.2420 0.7580
0.2420 0.7580 0.7580
0.7580 0.7580 0.2420
0.2500 0.2500 0.2500
0.7500 0.7500 0.7500
0.5000 0.5000 0.5000
0.0000 0.0000 0.0000
```

## Properties
Total magnetic moment: 6.9 Bohr magnetons per cell

***

*Q*
BaSmEuBiO6: relaxed, GGA-PBE.

```
BaSmEuBiO6
1.0
6.0766 0.0146 0.0018
0.0037 6.2219 0.0011
-0.0369 -0.0138 8.6883
Ba Eu O Bi Sm
2 2 12 2 2
direct
0.0080 0.0391 0.2514
0.9920 0.9609 0.7486
0.4841 0.5468 0.2524
0.5159 0.4532 0.7476
0.7938 0.2247 0.9500
0.6854 0.6990 0.5608
0.5796 0.9360 0.2556
0.8806 0.4858 0.2395
0.7123 0.6947 0.9361
0.2062 0.7753 0.0500
0.2121 0.7954 0.4578
0.3146 0.3010 0.4392
0.1194 0.5142 0.7605
0.4204 0.0640 0.7444
0.7879 0.2046 0.5422
0.2877 0.3053 0.0639
0.5000 0.0000 0.5000
0.0000 0.5000 0.0000
0.0000 0.5000 0.5000
0.5000 0.0000 0.0000
```

## Properties
Total magnetic moment: 13.4 Bohr magnetons per cell

***

Last place for stability: *P*

***

*P*
BaEuYBiO6: relaxed, GGA-PBE.

```
BaEuYBiO6
1.0
-5.8760 -1.2470 -0.5859
0.9614 -1.9021 -5.7842
1.4234 -7.9912 2.8666
Y Ba O Eu Bi
2 2 12 2 2
direct
0.0000 0.5000 0.5000
0.5000 0.0000 0.0000
0.9929 0.9642 0.7485
0.0071 0.0358 0.2515
0.6920 0.6979 0.5580
0.2874 0.3008 0.0614
0.2123 0.7882 0.4587
0.7126 0.6992 0.9386
0.4248 0.0608 0.7487
0.7877 0.2118 0.5413
0.7880 0.2256 0.9536
0.2120 0.7744 0.0464
0.3080 0.3021 0.4420
0.1137 0.5092 0.7581
0.8863 0.4908 0.2419
0.5752 0.9392 0.2513
0.5160 0.4536 0.7472
0.4840 0.5464 0.2528
0.5000 0.0000 0.5000
0.0000 0.5000 0.0000
```

## Properties
Total magnetic moment: 13.3 Bohr magnetons per cell

***

*Q*
BaEuYBiO6: relaxed, GGA-PBE.

```
BaEuYBiO6
1.0
0.0000 4.3343 4.3343
4.3343 0.0000 4.3343
4.3343 4.3343 0.0000
O Bi Eu Ba Y
6 1 1 1 1
direct
0.2448 0.7552 0.2448
0.2448 0.7552 0.7552
0.7552 0.2448 0.2448
0.2448 0.2448 0.7552
0.7552 0.2448 0.7552
0.7552 0.7552 0.2448
0.0000 0.0000 0.0000
0.7500 0.7500 0.7500
0.2500 0.2500 0.2500
0.5000 0.5000 0.5000
```

## Properties
Total magnetic moment: 6.9 Bohr magnetons per cell

***

Last place for stability: *Q*

***

*P*
Ba3BiF: relaxed, GGA-PBE.

```
Ba3BiF
1.0
-0.1103 -3.4945 -2.9215
-3.4423 -5.3709 6.5542
-9.1072 4.0526 -4.5037
Ba F Bi
6 2 2
direct
0.7500 0.0420 0.3414
0.2500 0.3896 0.6371
0.7500 0.2702 0.0305
0.7500 0.6104 0.3629
0.2500 0.9580 0.6586
0.2500 0.7298 0.9695
0.7500 0.1071 0.5837
0.2500 0.8929 0.4163
0.7500 0.6803 0.7037
0.2500 0.3197 0.2963
```

## Properties
Total magnetic moment: 0.0 Bohr magnetons per cell

***

*Q*
Ba3BiF: relaxed, GGA-PBE.

```
Ba3BiF
1.0
5.5720 0.0000 0.0000
0.0000 5.5720 0.0000
0.0000 0.0000 5.5720
Ba F Bi
3 1 1
direct
0.0000 0.0000 0.5000
0.5000 0.0000 0.0000
0.0000 0.5000 0.0000
0.0000 0.0000 0.0000
0.5000 0.5000 0.5000
```

## Properties
Total magnetic moment: 0.0 Bohr magnetons per cell

***

Last place for stability: *Q*